[1]
Compound: Tl2FeW
Source: Alexandria via LeMat-Bulk
Functional: PBE
Structure: relaxed

Electronic total energy ... -21.9 eV/cell
ΔE to the lowest computed polymorph ... 517 meV/atom
Volume ... 74 Å³ per cell
Formation energy from the elements ... 1.06 eV per atom

Lattice parameters (Å, degrees): 4.7342 4.7342 3.3238 90.00 90.00 90.00
With the nearest neighbours (Å) after each atom.
Space group P4/mmm (No. 123)
Unique sites:
Tl 0.0000 0.5000 0.0000 x2  4 W 2.89, 4 Fe 2.89
Fe 0.0000 0.0000 0.5000 x1  8 Tl 2.89
W 0.5000 0.5000 0.5000 x1  8 Tl 2.89

***

[2]
Compound: TlFeW2
Source: Alexandria via LeMat-Bulk
Functional: PBE
Structure: relaxed

Electronic total energy ... -67.3 eV/cell
ΔE to the lowest computed polymorph ... 155 meV/atom
Volume ... 131 Å³ per cell
Formation energy from the elements ... 0.77 eV per atom

Lattice parameters (Å, degrees): 4.0774 4.0774 7.9058 90.00 90.00 90.00
With the nearest neighbours (Å) after each atom.
Space group I-4m2 (No. 119)
Unique sites:
Tl 0.0000 0.0000 0.0000 x2  8 W 2.84-2.88, 4 Fe 2.84
Fe 0.0000 0.5000 0.2500 x2  4 Tl 2.84, 8 W 2.84-2.88
W 0.0000 0.0000 0.5000 x2  4 W 2.84, 4 Fe 2.84, 4 Tl 2.88
W 0.0000 0.5000 0.7500 x2  4 Tl 2.84, 4 W 2.84, 4 Fe 2.88

***

[3]
Compound: TlFeW2
Source: Alexandria via LeMat-Bulk
Functional: PBE
Structure: relaxed

Electronic total energy ... -66.6 eV/cell
ΔE to the lowest computed polymorph ... 246 meV/atom
Volume ... 133 Å³ per cell
Formation energy from the elements ... 0.87 eV per atom

Lattice parameters (Å, degrees): 5.4712 8.6937 2.8023 90.00 90.00 90.00
With the nearest neighbours (Å) after each atom.
Space group Cmmm (No. 65)
Unique sites:
Tl 0.0000 0.0000 0.0000 x2  2 Fe 2.74, 2 Tl 2.80, 8 W 2.93
Fe 0.0000 0.5000 0.0000 x2  2 Tl 2.74, 2 Fe 2.80, 8 W 2.93
W 0.2500 0.2500 0.5000 x4  4 W 2.74-2.80, 4 Tl 2.93, 4 Fe 2.93

***

[4]
Compound: Tl2FeW
Source: Alexandria via LeMat-Bulk
Functional: PBE
Structure: relaxed

Electronic total energy ... -83.6 eV/cell
ΔE to the lowest computed polymorph ... 767 meV/atom
Volume ... 290 Å³ per cell
Formation energy from the elements ... 1.31 eV per atom

Lattice parameters (Å, degrees): 6.6213 6.6213 6.6213 90.00 90.00 90.00
With the nearest neighbours (Å) after each atom.
Space group Fm-3m (No. 225)
Unique sites:
Tl 0.2500 0.2500 0.2500 x8  4 W 2.87, 4 Fe 2.87
Fe 0.0000 0.0000 0.0000 x4  8 Tl 2.87
W 0.0000 0.0000 0.5000 x4  8 Tl 2.87

***

[5]
Compound: Tl2Fe2W
Source: Alexandria via LeMat-Bulk
Functional: PBE
Structure: relaxed

Electronic total energy ... -56.0 eV/cell
Volume ... 194 Å³ per cell
Formation energy from the elements ... 1.33 eV per atom

Lattice parameters (Å, degrees): 3.8870 3.8870 12.8367 90.00 90.00 90.00
With the nearest neighbours (Å) after each atom.
Space group I4/mmm (No. 139)
Unique sites:
Tl 0.0000 0.5000 0.2500 x4  4 Tl 2.75, 4 Fe 2.89
Fe 0.0000 0.0000 0.0832 x4  1 Fe 2.14
W 0.0000 0.0000 0.5000 x2  8 Fe 2.95

***

[6]
Compound: Tl2FeW
Source: Alexandria via LeMat-Bulk
Functional: PBE
Structure: relaxed

Electronic total energy ... -43.8 eV/cell
ΔE to the lowest computed polymorph ... 518 meV/atom
Volume ... 152 Å³ per cell
Formation energy from the elements ... 1.06 eV per atom

Lattice parameters (Å, degrees): 4.1388 4.1388 8.8968 90.00 90.00 90.00
With the nearest neighbours (Å) after each atom.
Space group I4/mmm (No. 139)
Unique sites:
Tl 0.0000 0.5000 0.2500 x4  4 Tl 2.93, 4 W 3.04, 4 Fe 3.04
Fe 0.0000 0.0000 0.0000 x2  4 W 2.93, 8 Tl 3.04
W 0.0000 0.0000 0.5000 x2  4 Fe 2.93, 8 Tl 3.04

***

[7]
Compound: TlFeW2
Source: Alexandria via LeMat-Bulk
Functional: PBE
Structure: relaxed

Electronic total energy ... -34.0 eV/cell
ΔE to the lowest computed polymorph ... 53 meV/atom
Volume ... 69 Å³ per cell
Formation energy from the elements ... 0.67 eV per atom

Lattice parameters (Å, degrees): 2.8289 4.2126 5.8484 90.00 98.32 90.00
With the nearest neighbours (Å) after each atom.
Space group Pm (No. 6)
Unique sites:
Tl 0.0000 0.0000 0.0000 x1  2 Tl 2.83, 6 W 2.86-3.11, 4 Fe 2.92-3.09
Fe 0.4824 0.5000 0.7223 x1  3 W 2.56-2.68, 2 Fe 2.83
W 0.0241 0.0000 0.5125 x1  4 W 2.63-2.83, 2 Fe 2.68, 1 Tl 2.86
W 0.6184 0.5000 0.2987 x1  1 Fe 2.56, 4 W 2.63-2.83

***

[8]
Compound: TlFe3W
Source: Alexandria via LeMat-Bulk
Functional: PBE
Structure: relaxed

Electronic total energy ... -33.5 eV/cell
ΔE to the lowest computed polymorph ... 0 meV/atom
Volume ... 96 Å³ per cell
Formation energy from the elements ... 1.44 eV per atom

Lattice parameters (Å, degrees): 4.5821 4.5821 4.5821 90.00 90.00 90.00
With the nearest neighbours (Å) after each atom.
Space group Pm-3m (No. 221)
Unique sites:
Tl 0.0000 0.0000 0.0000 x1  12 Fe 3.24
Fe 0.0000 0.5000 0.5000 x3  2 W 2.29
W 0.5000 0.5000 0.5000 x1  6 Fe 2.29